DFT (PBE) results for Th2Zn3Ni12Au after structural relaxation.

Cell lengths 6.4262, 6.4262, 6.4262 Å; angles 83.84, 83.84, 83.84 degrees
Fractional positions:
Th: 0.1734 0.1734 0.1734
Th: 0.8266 0.8266 0.8266
Zn: 0.0000 0.5000 0.5000
Zn: 0.5000 0.0000 0.5000
Zn: 0.5000 0.5000 0.0000
Ni: 0.0988 0.0988 0.6206
Ni: 0.0988 0.6206 0.0988
Ni: 0.2070 0.7013 0.7013
Ni: 0.2987 0.2987 0.7930
Ni: 0.2987 0.7930 0.2987
Ni: 0.3794 0.9012 0.9012
Ni: 0.6206 0.0988 0.0988
Ni: 0.7013 0.2070 0.7013
Ni: 0.7013 0.7013 0.2070
Ni: 0.7930 0.2987 0.2987
Ni: 0.9012 0.3794 0.9012
Ni: 0.9012 0.9012 0.3794
Au: 0.5000 0.5000 0.5000

Properties
**Density**: 9.93 g/cm3
**Uncorrected energy**: -0.18902 Ha/atom
**E_form**: -0.070 eV/atom

DFT (PBE) results for ThZnNiAu after structural relaxation.

Cell lengths 5.3722, 5.3722, 5.3722 Å; angles 48.32, 48.32, 48.32 degrees
Fractional positions:
Th: 0.0000 0.0000 0.0000
Zn: 0.5233 0.5233 0.5233
Ni: 0.2138 0.2138 0.2138
Au: 0.7863 0.7863 0.7863

Properties
**Density**: 11.59 g/cm3
**Uncorrected energy**: -0.18003 Ha/atom
**E_form**: -0.461 eV/atom

DFT (PBE) results for ThZnNiAu after structural relaxation.

Cell lengths 4.8231, 4.8231, 4.8231 Å; angles 60.00, 60.00, 60.00 degrees
Fractional positions:
Th: 0.0000 0.0000 0.0000
Zn: 0.5000 0.5000 0.5000
Ni: 0.2500 0.2500 0.2500
Au: 0.7500 0.7500 0.7500

Properties
**Density**: 11.58 g/cm3
**Uncorrected energy**: -0.17554 Ha/atom
**E_form**: -0.339 eV/atom

DFT (PBE) results for TiNiAu after structural relaxation.

Cell lengths 3.7350, 4.0766, 6.1489 Å; angles 90.00, 107.65, 90.00 degrees
Fractional positions:
Ti: 0.1071 0.2500 0.2134
Ti: 0.8929 0.7500 0.7866
Ni: 0.2506 0.7500 0.5007
Ni: 0.7494 0.2500 0.4993
Au: 0.4158 0.2500 0.8325
Au: 0.5842 0.7500 0.1675

Properties
**Density**: 11.30 g/cm3
**Uncorrected energy**: -0.22034 Ha/atom
**E_form**: -0.344 eV/atom